(1)
Entry from Alexandria via LeMat-Bulk: a relaxed structure of ZrNb2CrCu (PBE).

Cell lengths 4.532, 4.532, 4.630 Å; angles 90.00, 90.00, 90.00 degrees
Fractional coordinates of all 5 atoms:
Zr 0.000 0.000 0.000
Nb 0.000 0.500 0.500
Nb 0.500 0.000 0.500
Cr 0.500 0.500 0.500
Cu 0.500 0.500 0.000

- crystal system = tetragonal
- symmetry = P4/mmm (123)
- density of states at the Fermi level (states/eV per cell) = 5.93
- total DFT energy (no corrections) (eV/atom) = -7.77

(2)
Entry from Alexandria via LeMat-Bulk: a relaxed structure of Nd2CrCu3Ni12 (PBE).

Cell lengths 9.093, 9.093, 9.093 Å; angles 38.70, 38.70, 38.70 degrees
Fractional coordinates of all 18 atoms:
Nd 0.154 0.154 0.154
Nd 0.846 0.846 0.846
Cr 0.500 0.500 0.500
Cu 0.000 0.500 0.500
Cu 0.500 0.000 0.500
Cu 0.500 0.500 0.000
Ni 0.079 0.079 0.688
Ni 0.079 0.688 0.079
Ni 0.153 0.568 0.568
Ni 0.312 0.921 0.921
Ni 0.432 0.432 0.847
Ni 0.432 0.847 0.432
Ni 0.568 0.153 0.568
Ni 0.568 0.568 0.153
Ni 0.688 0.079 0.079
Ni 0.847 0.432 0.432
Ni 0.921 0.312 0.921
Ni 0.921 0.921 0.312

- crystal system = trigonal
- symmetry = R-3m (166)
- density of states at the Fermi level (states/eV per cell) = 22.96
- total DFT energy (no corrections) (eV/atom) = -5.34

(3)
Entry from Alexandria via LeMat-Bulk: a relaxed structure of CrCuNi6 (PBE).

Cell lengths 3.542, 3.542, 7.038 Å; angles 90.00, 90.00, 90.00 degrees
Fractional coordinates of all 8 atoms:
Cr 0.000 0.000 0.000
Cu 0.000 0.000 0.500
Ni 0.000 0.500 0.246
Ni 0.000 0.500 0.754
Ni 0.500 0.000 0.246
Ni 0.500 0.000 0.754
Ni 0.500 0.500 0.000
Ni 0.500 0.500 0.500

- crystal system = tetragonal
- symmetry = P4/mmm (123)
- density of states at the Fermi level (states/eV per cell) = 11.94
- total DFT energy (no corrections) (eV/atom) = -6.06

(4)
Entry from Alexandria via LeMat-Bulk: a relaxed structure of CrCu3Ni (PBE).

Cell lengths 4.448, 4.448, 4.448 Å; angles 90.00, 90.00, 90.00 degrees
Fractional coordinates of all 5 atoms:
Cr 0.000 0.000 0.000
Cu 0.000 0.000 0.500
Cu 0.000 0.500 0.000
Cu 0.500 0.000 0.000
Ni 0.500 0.500 0.500

- crystal system = cubic
- symmetry = Pm-3m (221)
- density of states at the Fermi level (states/eV per cell) = 4.44
- total DFT energy (no corrections) (eV/atom) = -4.05

(5)
Entry from Alexandria via LeMat-Bulk: a relaxed structure of CrCuNi4 (PBE).

Cell lengths 2.477, 2.477, 10.817 Å; angles 90.00, 90.00, 90.00 degrees
Fractional coordinates of all 6 atoms:
Cr 0.000 0.000 0.000
Cu 0.500 0.500 0.500
Ni 0.000 0.000 0.331
Ni 0.000 0.000 0.669
Ni 0.500 0.500 0.165
Ni 0.500 0.500 0.835

- crystal system = tetragonal
- symmetry = P4/mmm (123)
- density of states at the Fermi level (states/eV per cell) = 9.39
- total DFT energy (no corrections) (eV/atom) = -6.12

(6)
Entry from Alexandria via LeMat-Bulk: a relaxed structure of Cr2CuNi (PBE).

Cell lengths 2.439, 2.439, 8.033 Å; angles 90.00, 90.00, 105.86 degrees
Fractional coordinates of all 4 atoms:
Cr 0.000 0.000 0.000
Cr 0.500 0.500 0.248
Cu 0.500 0.500 0.739
Ni 0.000 0.000 0.487

- crystal system = orthorhombic
- symmetry = Cmm2 (35)
- density of states at the Fermi level (states/eV per cell) = 5.13
- total DFT energy (no corrections) (eV/atom) = -7.16

(7)
Entry from Alexandria via LeMat-Bulk: a relaxed structure of CrCu2Ni (PBE).

Cell lengths 2.494, 2.494, 7.406 Å; angles 90.00, 90.00, 90.00 degrees
Fractional coordinates of all 4 atoms:
Cr 0.000 0.000 0.000
Cu 0.000 0.000 0.516
Cu 0.500 0.500 0.262
Ni 0.500 0.500 0.765

- crystal system = tetragonal
- symmetry = P4mm (99)
- density of states at the Fermi level (states/eV per cell) = 3.64
- total DFT energy (no corrections) (eV/atom) = -5.80

(8)
Entry from Alexandria via LeMat-Bulk: a relaxed structure of Cr2CuNi (PBE).

Cell lengths 4.588, 4.588, 2.416 Å; angles 90.11, 90.11, 116.38 degrees
Fractional coordinates of all 4 atoms:
Cr 0.000 0.500 0.000
Cr 0.500 0.000 0.000
Cu 0.000 0.000 0.500
Ni 0.500 0.500 0.500

- crystal system = monoclinic
- symmetry = C2/m (12)
- density of states at the Fermi level (states/eV per cell) = 4.29
- total DFT energy (no corrections) (eV/atom) = -7.10

(9)
Entry from Alexandria via LeMat-Bulk: a relaxed structure of Cr2CuNi (PBE).

Cell lengths 3.426, 3.426, 3.886 Å; angles 90.00, 90.00, 90.00 degrees
Fractional coordinates of all 4 atoms:
Cr 0.000 0.500 0.000
Cr 0.500 0.000 0.000
Cu 0.000 0.000 0.500
Ni 0.500 0.500 0.500

- crystal system = tetragonal
- symmetry = P4/mmm (123)
- density of states at the Fermi level (states/eV per cell) = 5.62
- total DFT energy (no corrections) (eV/atom) = -7.08

(10)
Entry from Alexandria via LeMat-Bulk: a relaxed structure of CrCu2Ni (PBE).

Cell lengths 4.483, 4.483, 4.415 Å; angles 98.79, 98.79, 32.33 degrees
Fractional coordinates of all 4 atoms:
Cr 0.000 0.000 0.000
Cu 0.248 0.248 0.747
Cu 0.752 0.752 0.253
Ni 0.500 0.500 0.500

- crystal system = monoclinic
- symmetry = C2/m (12)
- density of states at the Fermi level (states/eV per cell) = 4.60
- total DFT energy (no corrections) (eV/atom) = -5.72

(11)
Entry from Alexandria via LeMat-Bulk: a relaxed structure of Cr3CuNi (PBE).

Cell lengths 4.210, 4.210, 4.210 Å; angles 90.00, 90.00, 90.00 degrees
Fractional coordinates of all 5 atoms:
Cr 0.000 0.000 0.500
Cr 0.000 0.500 0.000
Cr 0.500 0.000 0.000
Cu 0.500 0.500 0.500
Ni 0.000 0.000 0.000

- crystal system = cubic
- symmetry = Pm-3m (221)
- density of states at the Fermi level (states/eV per cell) = 7.71
- total DFT energy (no corrections) (eV/atom) = -6.26

(12)
Entry from Alexandria via LeMat-Bulk: a relaxed structure of CrCu2Ni (PBE).

Cell lengths 4.568, 4.568, 2.477 Å; angles 90.00, 90.00, 113.48 degrees
Fractional coordinates of all 4 atoms:
Cr 0.000 0.000 0.000
Cu 0.000 0.500 0.500
Cu 0.500 0.000 0.500
Ni 0.500 0.500 0.000

- crystal system = orthorhombic
- symmetry = Cmmm (65)
- density of states at the Fermi level (states/eV per cell) = 4.09
- total DFT energy (no corrections) (eV/atom) = -5.66

(13)
Entry from Alexandria via LeMat-Bulk: a relaxed structure of CrCu3Ni (PBE).

Cell lengths 4.354, 4.354, 4.354 Å; angles 90.00, 90.00, 90.00 degrees
Fractional coordinates of all 5 atoms:
Cr 0.000 0.000 0.000
Cu 0.000 0.500 0.500
Cu 0.500 0.000 0.500
Cu 0.500 0.500 0.000
Ni 0.500 0.500 0.500

- crystal system = cubic
- symmetry = Pm-3m (221)
- density of states at the Fermi level (states/eV per cell) = 2.77
- total DFT energy (no corrections) (eV/atom) = -4.61

(14)
Entry from Alexandria via LeMat-Bulk: a relaxed structure of CrCuNi4 (PBE).

Cell lengths 4.653, 4.653, 4.653 Å; angles 60.00, 60.00, 60.00 degrees
Fractional coordinates of all 6 atoms:
Cr 0.000 0.000 0.000
Cu 0.750 0.750 0.750
Ni 0.375 0.375 0.375
Ni 0.375 0.375 0.875
Ni 0.375 0.875 0.375
Ni 0.875 0.375 0.375

- crystal system = cubic
- symmetry = F-43m (216)
- density of states at the Fermi level (states/eV per cell) = 12.05
- total DFT energy (no corrections) (eV/atom) = -6.00

(15)
Entry from Alexandria via LeMat-Bulk: a relaxed structure of CrCu2Ni (PBE).

Cell lengths 4.437, 4.437, 4.437 Å; angles 131.26, 131.26, 71.40 degrees
Fractional coordinates of all 4 atoms:
Cr 0.000 0.000 0.000
Cu 0.500 0.500 0.000
Cu 0.750 0.250 0.500
Ni 0.250 0.750 0.500

- crystal system = tetragonal
- symmetry = I-4m2 (119)
- density of states at the Fermi level (states/eV per cell) = 4.53
- total DFT energy (no corrections) (eV/atom) = -5.74

(16)
Entry from Alexandria via LeMat-Bulk: a relaxed structure of Cr2CuNi (PBE).

Cell lengths 4.311, 4.311, 4.598 Å; angles 95.90, 95.90, 32.66 degrees
Fractional coordinates of all 4 atoms:
Cr 0.000 0.000 0.000
Cr 0.238 0.238 0.749
Cu 0.749 0.749 0.256
Ni 0.496 0.496 0.494

- crystal system = monoclinic
- symmetry = Cm (8)
- density of states at the Fermi level (states/eV per cell) = 3.68
- total DFT energy (no corrections) (eV/atom) = -7.09

(17)
Entry from Alexandria via LeMat-Bulk: a relaxed structure of Cr2CuNi (PBE).

Cell lengths 8.668, 8.668, 8.668 Å; angles 16.55, 16.55, 16.55 degrees
Fractional coordinates of all 4 atoms:
Cr 0.248 0.248 0.248
Cr 0.752 0.752 0.752
Cu 0.000 0.000 0.000
Ni 0.500 0.500 0.500

- crystal system = trigonal
- symmetry = R-3m (166)
- density of states at the Fermi level (states/eV per cell) = 3.99
- total DFT energy (no corrections) (eV/atom) = -7.03

(18)
Entry from Alexandria via LeMat-Bulk: a relaxed structure of Cr2CuNi (PBE).

Cell lengths 2.973, 2.973, 5.406 Å; angles 90.00, 90.00, 90.00 degrees
Fractional coordinates of all 4 atoms:
Cr 0.000 0.000 0.000
Cr 0.500 0.500 0.239
Cu 0.000 0.000 0.508
Ni 0.500 0.500 0.746

- crystal system = tetragonal
- symmetry = P4mm (99)
- density of states at the Fermi level (states/eV per cell) = 3.90
- total DFT energy (no corrections) (eV/atom) = -7.13

(19)
Entry from Alexandria via LeMat-Bulk: a relaxed structure of Cr2CuNi7 (PBE).

Cell lengths 7.852, 7.852, 2.403 Å; angles 90.00, 90.00, 122.27 degrees
Fractional coordinates of all 10 atoms:
Cr 0.174 0.826 0.000
Cr 0.826 0.174 0.000
Cu 0.500 0.500 0.500
Ni 0.000 0.000 0.000
Ni 0.165 0.359 0.000
Ni 0.321 0.679 0.500
Ni 0.359 0.165 0.000
Ni 0.641 0.835 0.000
Ni 0.679 0.321 0.500
Ni 0.835 0.641 0.000

- crystal system = orthorhombic
- symmetry = Cmmm (65)
- density of states at the Fermi level (states/eV per cell) = 13.30
- total DFT energy (no corrections) (eV/atom) = -5.93

(20)
Entry from Alexandria via LeMat-Bulk: a relaxed structure of Cr2CuNi (PBE).

Cell lengths 2.429, 3.678, 5.148 Å; angles 90.00, 90.00, 90.00 degrees
Fractional coordinates of all 4 atoms:
Cr 0.000 0.000 0.000
Cr 0.500 0.500 0.250
Cu 0.000 0.000 0.508
Ni 0.500 0.500 0.748

- crystal system = orthorhombic
- symmetry = Pmm2 (25)
- density of states at the Fermi level (states/eV per cell) = 3.56
- total DFT energy (no corrections) (eV/atom) = -7.10

(21)
Entry from Alexandria via LeMat-Bulk: a relaxed structure of Cr2CuNi (PBE).

Cell lengths 4.417, 4.417, 4.417 Å; angles 130.59, 130.59, 72.47 degrees
Fractional coordinates of all 4 atoms:
Cr 0.000 0.000 0.000
Cr 0.750 0.250 0.500
Cu 0.250 0.750 0.500
Ni 0.500 0.500 0.000

- crystal system = tetragonal
- symmetry = I-4m2 (119)
- density of states at the Fermi level (states/eV per cell) = 6.89
- total DFT energy (no corrections) (eV/atom) = -7.09

(22)
Entry from Alexandria via LeMat-Bulk: a relaxed structure of CrCu2Ni (PBE).

Cell lengths 4.034, 4.034, 4.034 Å; angles 60.00, 60.00, 60.00 degrees
Fractional coordinates of all 4 atoms:
Cr 0.000 0.000 0.000
Cu 0.250 0.250 0.250
Cu 0.750 0.750 0.750
Ni 0.500 0.500 0.500

- crystal system = cubic
- symmetry = Fm-3m (225)
- density of states at the Fermi level (states/eV per cell) = 3.35
- total DFT energy (no corrections) (eV/atom) = -5.57

(23)
Entry from Alexandria via LeMat-Bulk: a relaxed structure of CrCu2Ni (PBE).

Cell lengths 4.108, 4.108, 4.108 Å; angles 60.00, 60.00, 60.00 degrees
Fractional coordinates of all 4 atoms:
Cr 0.000 0.000 0.000
Cu 0.500 0.500 0.500
Cu 0.750 0.750 0.750
Ni 0.250 0.250 0.250

- crystal system = cubic
- symmetry = F-43m (216)
- density of states at the Fermi level (states/eV per cell) = 6.02
- total DFT energy (no corrections) (eV/atom) = -5.69

(24)
Entry from Alexandria via LeMat-Bulk: a relaxed structure of CrCu2Ni (PBE).

Cell lengths 4.428, 2.499, 4.535 Å; angles 90.00, 109.82, 90.00 degrees
Fractional coordinates of all 4 atoms:
Cr 0.000 0.000 0.000
Cu 0.000 0.500 0.500
Cu 0.500 0.000 0.500
Ni 0.500 0.500 0.000

- crystal system = monoclinic
- symmetry = P2/m (10)
- density of states at the Fermi level (states/eV per cell) = 4.19
- total DFT energy (no corrections) (eV/atom) = -5.70

(25)
Entry from Alexandria via LeMat-Bulk: a relaxed structure of CrCu2Ni (PBE).

Cell lengths 5.200, 5.200, 5.200 Å; angles 102.15, 102.15, 125.39 degrees
Fractional coordinates of all 8 atoms:
Cr 0.000 0.000 0.000
Cr 0.750 0.250 0.500
Cu 0.131 0.125 0.506
Cu 0.375 0.869 0.994
Cu 0.619 0.625 0.494
Cu 0.875 0.381 0.006
Ni 0.250 0.750 0.500
Ni 0.500 0.500 0.000

- crystal system = tetragonal
- symmetry = I-42d (122)
- density of states at the Fermi level (states/eV per cell) = 13.93
- total DFT energy (no corrections) (eV/atom) = -5.14

(26)
Entry from Alexandria via LeMat-Bulk: a relaxed structure of Cr2CuNi (PBE).

Cell lengths 4.102, 4.102, 4.102 Å; angles 60.00, 60.00, 60.00 degrees
Fractional coordinates of all 4 atoms:
Cr 0.000 0.000 0.000
Cr 0.250 0.250 0.250
Cu 0.500 0.500 0.500
Ni 0.750 0.750 0.750

- crystal system = cubic
- symmetry = F-43m (216)
- density of states at the Fermi level (states/eV per cell) = 6.17
- total DFT energy (no corrections) (eV/atom) = -7.07

(27)
Entry from Alexandria via LeMat-Bulk: a relaxed structure of Cr2CuNi (PBE).

Cell lengths 2.415, 4.068, 4.660 Å; angles 90.00, 94.28, 90.00 degrees
Fractional coordinates of all 4 atoms:
Cr 0.000 0.000 0.000
Cr 0.163 0.500 0.722
Cu 0.596 0.500 0.226
Ni 0.558 0.000 0.502

- crystal system = monoclinic
- symmetry = Pm (6)
- density of states at the Fermi level (states/eV per cell) = 3.27
- total DFT energy (no corrections) (eV/atom) = -7.12

(28)
Entry from Alexandria via LeMat-Bulk: a relaxed structure of CrCu2Ni (PBE).

Cell lengths 2.506, 3.772, 5.023 Å; angles 90.00, 90.00, 90.00 degrees
Fractional coordinates of all 4 atoms:
Cr 0.000 0.000 0.000
Cu 0.500 0.500 0.255
Cu 0.500 0.500 0.745
Ni 0.000 0.000 0.500

- crystal system = orthorhombic
- symmetry = Pmmm (47)
- density of states at the Fermi level (states/eV per cell) = 4.26
- total DFT energy (no corrections) (eV/atom) = -5.68

(29)
Entry from Alexandria via LeMat-Bulk: a relaxed structure of CrCu2Ni (PBE).

Cell lengths 4.363, 4.363, 4.530 Å; angles 97.74, 97.74, 33.04 degrees
Fractional coordinates of all 4 atoms:
Cr 0.000 0.000 0.000
Cu 0.247 0.247 0.721
Cu 0.496 0.496 0.491
Ni 0.748 0.748 0.213

- crystal system = monoclinic
- symmetry = Cm (8)
- density of states at the Fermi level (states/eV per cell) = 3.83
- total DFT energy (no corrections) (eV/atom) = -5.72